VASP calculation (GGA+U) on a relaxed structure of CuMoIO2.

a b c (Å): 4.0074 4.0074 5.4790
angles (deg): 90.00 90.00 90.00
With the nearest neighbours (Å) after each atom.
Atoms (fractional coordinates):
Cu 0.0000 0.0000 0.0000  4 O 2.00
Mo 0.5000 0.5000 0.5000  4 I 2.83
I 0.0000 0.0000 0.5000  2 Cu 2.74, 4 Mo 2.83
O 0.0000 0.5000 0.0000  2 Cu 2.00
O 0.5000 0.0000 0.0000  2 Cu 2.00

- Total energy: -4.094 eV per atom
- Total magnetization: 5.14 μB/f.u.
- Relative energy among the computed polymorphs: 1059 meV per atom